# GGA-PBE CsLi6Cl8, relaxed
data_CsLi6Cl8
_symmetry_space_group_name_H-M 'P 1'
_symmetry_Int_Tables_number 1
_cell_length_a 7.201
_cell_length_b 7.201
_cell_length_c 7.201
_cell_angle_alpha 98.52
_cell_angle_beta 98.52
_cell_angle_gamma 98.52
loop_
_symmetry_equiv_pos_as_xyz
'x,y,z'
loop_
_atom_site_label
_atom_site_type_symbol
_atom_site_fract_x
_atom_site_fract_y
_atom_site_fract_z
Cs1 Cs 0.000 0.000 0.000
Li1 Li 0.684 0.384 0.801
Li2 Li 0.384 0.801 0.684
Li3 Li 0.801 0.684 0.384
Li4 Li 0.316 0.616 0.199
Li5 Li 0.616 0.199 0.316
Li6 Li 0.199 0.316 0.616
Cl1 Cl 0.668 0.668 0.668
Cl2 Cl 0.332 0.332 0.332
Cl3 Cl 0.593 0.863 0.217
Cl4 Cl 0.863 0.217 0.593
Cl5 Cl 0.217 0.593 0.863
Cl6 Cl 0.407 0.137 0.783
Cl7 Cl 0.137 0.783 0.407
Cl8 Cl 0.783 0.407 0.137
# Symmetry = R-3 (148)
# ΔE_f (raw) = -1.64 eV per atom
# N(E_F) = 9.0 states/eV/cell